{
  "formula": "Ba2LiIn3Au4",
  "functional": "PBE-GGA",
  "state": "relaxed",
  "lattice": [[4.892, 0.000, 0.000], [0.000, 4.892, 0.000], [0.000, 0.000, 11.198]],
  "species": ["Ba", "Ba", "Li", "In", "In", "In", "Au", "Au", "Au", "Au"],
  "frac_coords": [[0.000, 0.500, 0.244], [0.500, 0.000, 0.756], [0.000, 0.000, 0.500], [0.000, 0.500, 0.877], [0.500, 0.000, 0.123], [0.500, 0.500, 0.500], [0.000, 0.000, 0.000], [0.000, 0.500, 0.626], [0.500, 0.000, 0.374], [0.500, 0.500, 0.000]],
  "e_form_ev_per_atom": -0.548
}

=====

{
  "formula": "SmEr4Sc5",
  "functional": "PBE-GGA",
  "state": "relaxed",
  "lattice": [[-4.857, 4.857, 3.018], [4.857, -4.857, 3.018], [4.857, 4.857, -3.018]],
  "species": ["Sm", "Er", "Er", "Er", "Er", "Sc", "Sc", "Sc", "Sc", "Sc"],
  "frac_coords": [[0.000, 0.000, 0.000], [0.122, 0.828, 0.395], [0.432, 0.727, 0.605], [0.727, 0.122, 0.294], [0.828, 0.432, 0.706], [0.056, 0.143, 0.628], [0.143, 0.515, 0.087], [0.428, 0.056, 0.913], [0.515, 0.428, 0.372], [0.541, 0.541, 0.000]],
  "e_form_ev_per_atom": 0.299
}

=====

{
  "formula": "CsMgZr2Se",
  "functional": "PBE-GGA",
  "state": "relaxed",
  "lattice": [[5.226, 0.000, 0.000], [0.000, 5.226, 0.000], [0.000, 0.000, 5.548]],
  "species": ["Cs", "Mg", "Zr", "Zr", "Se"],
  "frac_coords": [[0.000, 0.000, 0.000], [0.500, 0.500, 0.000], [0.000, 0.500, 0.500], [0.500, 0.000, 0.500], [0.500, 0.500, 0.500]],
  "formation_energy_uncorrected_ev_per_atom": 0.4445
}

=====

{
  "formula": "SrCdCl2",
  "functional": "PBE-GGA",
  "state": "relaxed",
  "lattice": [[-4.404, 4.404, 5.176], [4.404, -4.404, 5.176], [4.404, 4.404, -5.176]],
  "species": ["Sr", "Sr", "Cd", "Cd", "Cl", "Cl", "Cl", "Cl"],
  "frac_coords": [[0.000, 0.000, 0.000], [0.750, 0.250, 0.500], [0.250, 0.750, 0.500], [0.500, 0.500, 0.000], [0.001, 0.125, 0.376], [0.375, 0.999, 0.124], [0.749, 0.625, 0.624], [0.875, 0.251, 0.876]],
  "relative_energy_mev_per_atom": 141,
  "formation_energy_uncorrected_ev_per_atom": -1.5267
}

=====

{
  "formula": "YTlZn",
  "functional": "PBE-GGA",
  "state": "relaxed",
  "lattice": [[5.425, -2.166, 0.000], [5.425, 2.166, 0.000], [-0.298, 0.000, 6.126]],
  "species": ["Y", "Y", "Tl", "Tl", "Zn", "Zn"],
  "frac_coords": [[0.000, 0.000, 0.000], [0.611, 0.611, 0.533], [0.314, 0.314, 0.743], [0.704, 0.704, 0.063], [0.346, 0.346, 0.260], [0.923, 0.923, 0.474]],
  "e_form_ev_per_atom": -0.258
}

=====

{
  "formula": "K3Rb3Na2",
  "functional": "PBE-GGA",
  "state": "relaxed",
  "lattice": [[5.791, 3.343, 4.733], [-5.791, 3.343, 4.733], [0.000, -6.687, 4.733]],
  "species": ["K", "K", "K", "Rb", "Rb", "Rb", "Na", "Na"],
  "frac_coords": [[0.000, 0.753, 0.247], [0.247, 0.000, 0.753], [0.753, 0.247, 0.000], [0.248, 0.500, 0.752], [0.500, 0.752, 0.248], [0.752, 0.248, 0.500], [0.246, 0.246, 0.246], [0.754, 0.754, 0.754]],
  "relative_energy_mev_per_atom": 17,
  "e_form_ev_per_atom": 0.039
}

=====

{
  "formula": "CuSi2",
  "functional": "PBE-GGA",
  "state": "relaxed",
  "lattice": [[6.440, 0.000, 0.000], [-3.220, 5.577, 0.000], [0.000, 0.000, 3.535]],
  "species": ["Cu", "Cu", "Cu", "Si", "Si", "Si", "Si", "Si", "Si"],
  "frac_coords": [[0.000, 0.000, 0.000], [0.333, 0.667, 0.500], [0.667, 0.333, 0.500], [0.000, 0.271, 0.500], [0.000, 0.614, 0.000], [0.271, 0.000, 0.500], [0.386, 0.386, 0.000], [0.614, 0.000, 0.000], [0.729, 0.729, 0.500]],
  "formation_energy_uncorrected_ev_per_atom": 0.2980
}

=====

{
  "formula": "HfCoSn",
  "functional": "PBE-GGA",
  "state": "relaxed",
  "lattice": [[-1.672, 1.672, 10.568], [1.672, -1.672, 10.568], [1.672, 1.672, -10.568]],
  "species": ["Hf", "Hf", "Co", "Co", "Sn", "Sn"],
  "frac_coords": [[0.165, 0.165, 0.000], [0.835, 0.835, 0.000], [0.285, 0.285, 0.000], [0.715, 0.715, 0.000], [0.430, 0.430, 0.000], [0.570, 0.570, 0.000]],
  "e_form_ev_per_atom": -0.197
}

=====

{
  "formula": "RbIn6Cl8",
  "functional": "PBE-GGA",
  "state": "relaxed",
  "lattice": [[5.794, 3.345, 4.621], [-5.794, 3.345, 4.621], [0.000, -6.691, 4.621]],
  "species": ["Rb", "In", "In", "In", "In", "In", "In", "Cl", "Cl", "Cl", "Cl", "Cl", "Cl", "Cl", "Cl"],
  "frac_coords": [[0.000, 0.000, 0.000], [0.244, 0.591, 0.355], [0.355, 0.244, 0.591], [0.409, 0.645, 0.756], [0.591, 0.355, 0.244], [0.645, 0.756, 0.409], [0.756, 0.409, 0.645], [0.068, 0.349, 0.732], [0.244, 0.244, 0.244], [0.268, 0.932, 0.651], [0.349, 0.732, 0.068], [0.651, 0.268, 0.932], [0.732, 0.068, 0.349], [0.756, 0.756, 0.756], [0.932, 0.651, 0.268]],
  "formation_energy_uncorrected_ev_per_atom": -0.9313
}

=====

{
  "formula": "AcGaPdPt",
  "functional": "PBE-GGA",
  "state": "relaxed",
  "lattice": [[3.855, -2.224, 0.000], [3.855, 2.224, 0.000], [-2.561, 0.000, 5.208]],
  "species": ["Ac", "Ga", "Pd", "Pt"],
  "frac_coords": [[0.000, 0.000, 0.000], [0.505, 0.505, 0.515], [0.793, 0.793, 0.379], [0.208, 0.208, 0.623]],
  "e_form_ev_per_atom": -0.924
}

=====

{
  "formula": "UV2S3",
  "functional": "PBE-GGA",
  "state": "relaxed",
  "lattice": [[10.405, -1.785, 0.000], [10.405, 1.785, 0.000], [-0.596, 0.000, 6.165]],
  "species": ["U", "U", "V", "V", "V", "V", "S", "S", "S", "S", "S", "S"],
  "frac_coords": [[0.153, 0.153, 0.460], [0.847, 0.847, 0.540], [0.208, 0.208, 0.946], [0.454, 0.454, 0.330], [0.546, 0.546, 0.670], [0.792, 0.792, 0.054], [0.096, 0.096, 0.853], [0.269, 0.269, 0.278], [0.437, 0.437, 0.694], [0.563, 0.563, 0.306], [0.731, 0.731, 0.722], [0.904, 0.904, 0.147]],
  "formation_energy_uncorrected_ev_per_atom": -0.7827
}

=====

{
  "formula": "NiHPd2",
  "functional": "PBE-GGA",
  "state": "relaxed",
  "lattice": [[6.197, 0.000, 0.000], [0.000, 5.573, 0.000], [0.000, 0.000, 5.481]],
  "species": ["Ni", "Ni", "Ni", "Ni", "H", "H", "H", "H", "Pd", "Pd", "Pd", "Pd", "Pd", "Pd", "Pd", "Pd"],
  "frac_coords": [[0.002, 0.250, 0.000], [0.498, 0.750, 0.500], [0.502, 0.250, 0.500], [0.998, 0.750, 0.000], [0.231, 0.250, 0.427], [0.269, 0.750, 0.927], [0.731, 0.250, 0.073], [0.769, 0.750, 0.573], [0.175, 0.502, 0.654], [0.175, 0.998, 0.654], [0.325, 0.002, 0.154], [0.325, 0.498, 0.154], [0.675, 0.502, 0.846], [0.675, 0.998, 0.846], [0.825, 0.002, 0.346], [0.825, 0.498, 0.346]],
  "relative_energy_mev_per_atom": 101
}

=====

{
  "formula": "TlRe2Mo",
  "functional": "PBE-GGA",
  "state": "relaxed",
  "lattice": [[0.000, 3.225, 3.225], [3.225, 0.000, 3.225], [3.225, 3.225, 0.000]],
  "species": ["Tl", "Re", "Re", "Mo"],
  "frac_coords": [[0.000, 0.000, 0.000], [0.500, 0.500, 0.500], [0.750, 0.750, 0.750], [0.250, 0.250, 0.250]],
  "relative_energy_mev_per_atom": 362,
  "e_form_ev_per_atom": 0.844
}

=====

{
  "formula": "Cs2ZrSi3O9",
  "functional": "PBE-GGA",
  "state": "relaxed",
  "lattice": [[7.330, 0.000, 0.000], [-3.665, 6.348, 0.000], [0.000, 0.000, 10.439]],
  "species": ["Cs", "Cs", "Cs", "Cs", "Zr", "Zr", "Si", "Si", "Si", "Si", "Si", "Si", "O", "O", "O", "O", "O", "O", "O", "O", "O", "O", "O", "O", "O", "O", "O", "O", "O", "O"],
  "frac_coords": [[0.333, 0.667, 0.064], [0.333, 0.667, 0.436], [0.667, 0.333, 0.564], [0.667, 0.333, 0.936], [0.000, 0.000, 0.000], [0.000, 0.000, 0.500], [0.154, 0.390, 0.750], [0.235, 0.846, 0.750], [0.390, 0.235, 0.250], [0.610, 0.765, 0.750], [0.765, 0.154, 0.250], [0.846, 0.610, 0.250], [0.063, 0.260, 0.618], [0.063, 0.260, 0.882], [0.095, 0.583, 0.750], [0.197, 0.937, 0.618], [0.197, 0.937, 0.882], [0.260, 0.197, 0.118], [0.260, 0.197, 0.382], [0.417, 0.512, 0.750], [0.488, 0.905, 0.750], [0.512, 0.095, 0.250], [0.583, 0.488, 0.250], [0.740, 0.803, 0.618], [0.740, 0.803, 0.882], [0.803, 0.063, 0.118], [0.803, 0.063, 0.382], [0.905, 0.417, 0.250], [0.937, 0.740, 0.118], [0.937, 0.740, 0.382]],
  "formation_energy_uncorrected_ev_per_atom": -2.8103
}

=====

{
  "formula": "Dy3TlHg",
  "functional": "PBE-GGA",
  "state": "relaxed",
  "lattice": [[2.572, -10.533, 0.000], [2.572, 10.533, 0.000], [0.000, 0.000, 5.144]],
  "species": ["Dy", "Dy", "Dy", "Dy", "Dy", "Dy", "Tl", "Tl", "Hg", "Hg"],
  "frac_coords": [[0.059, 0.941, 0.750], [0.250, 0.750, 0.750], [0.441, 0.559, 0.750], [0.559, 0.441, 0.250], [0.750, 0.250, 0.250], [0.941, 0.059, 0.250], [0.155, 0.845, 0.250], [0.845, 0.155, 0.750], [0.347, 0.653, 0.250], [0.653, 0.347, 0.750]],
  "relative_energy_mev_per_atom": 0,
  "e_form_ev_per_atom": -0.312
}

=====

{
  "formula": "Na2Sc",
  "functional": "PBE-GGA",
  "state": "relaxed",
  "lattice": [[2.914, -1.681, 0.000], [2.914, 1.681, 0.000], [-0.021, 0.000, 9.148]],
  "species": ["Na", "Na", "Sc"],
  "frac_coords": [[0.172, 0.172, 0.322], [0.828, 0.828, 0.678], [0.500, 0.500, 0.000]],
  "relative_energy_mev_per_atom": 0,
  "e_form_ev_per_atom": 0.252
}

=====

{
  "formula": "NdAlTe3",
  "functional": "PBE-GGA",
  "state": "relaxed",
  "lattice": [[7.674, 0.000, 0.000], [0.000, 8.005, 0.000], [-6.514, 0.000, 10.718]],
  "species": ["Nd", "Nd", "Nd", "Nd", "Al", "Al", "Al", "Al", "Te", "Te", "Te", "Te", "Te", "Te", "Te", "Te", "Te", "Te", "Te", "Te"],
  "frac_coords": [[0.156, 0.131, 0.222], [0.156, 0.369, 0.722], [0.844, 0.631, 0.278], [0.844, 0.869, 0.778], [0.276, 0.683, 0.125], [0.276, 0.817, 0.625], [0.724, 0.183, 0.375], [0.724, 0.317, 0.875], [0.081, 0.201, 0.934], [0.081, 0.299, 0.434], [0.263, 0.673, 0.913], [0.263, 0.827, 0.413], [0.460, 0.045, 0.805], [0.460, 0.455, 0.305], [0.540, 0.545, 0.695], [0.540, 0.955, 0.195], [0.737, 0.173, 0.587], [0.737, 0.327, 0.087], [0.919, 0.701, 0.566], [0.919, 0.799, 0.066]],
  "relative_energy_mev_per_atom": 16,
  "formation_energy_uncorrected_ev_per_atom": -0.8518
}

=====

{
  "formula": "YRe2Pt",
  "functional": "PBE-GGA",
  "state": "relaxed",
  "lattice": [[5.504, -1.435, 0.000], [5.504, 1.435, 0.000], [-1.459, 0.000, 4.513]],
  "species": ["Y", "Re", "Re", "Pt"],
  "frac_coords": [[0.000, 0.000, 0.000], [0.223, 0.223, 0.717], [0.777, 0.777, 0.283], [0.500, 0.500, 0.500]],
  "relative_energy_mev_per_atom": 229,
  "e_form_ev_per_atom": 0.096
}

=====

{
  "formula": "AlSbC2",
  "functional": "PBE-GGA",
  "state": "relaxed",
  "lattice": [[-2.415, 2.415, 4.847], [2.415, -2.415, 4.847], [2.415, 2.415, -4.847]],
  "species": ["Al", "Al", "Sb", "Sb", "C", "C", "C", "C"],
  "frac_coords": [[0.000, 0.000, 0.000], [0.750, 0.250, 0.500], [0.250, 0.750, 0.500], [0.500, 0.500, 0.000], [0.106, 0.625, 0.981], [0.375, 0.356, 0.481], [0.644, 0.125, 0.019], [0.875, 0.894, 0.519]],
  "relative_energy_mev_per_atom": 0,
  "formation_energy_uncorrected_ev_per_atom": 0.5137
}

=====

{
  "formula": "Pm4GaSiSe2",
  "functional": "PBE-GGA",
  "state": "relaxed",
  "lattice": [[7.115, 0.000, 0.000], [0.000, 4.197, 0.000], [-2.451, 0.000, 7.198]],
  "species": ["Pm", "Pm", "Pm", "Pm", "Ga", "Si", "Se", "Se"],
  "frac_coords": [[0.243, 0.000, 0.245], [0.246, 0.500, 0.748], [0.754, 0.500, 0.252], [0.757, 0.000, 0.755], [0.500, 0.000, 0.000], [0.000, 0.500, 0.000], [0.000, 0.000, 0.500], [0.500, 0.500, 0.500]],
  "formation_energy_uncorrected_ev_per_atom": -1.2338
}

=====

{
  "formula": "Pm2PrHoSe4",
  "functional": "PBE-GGA",
  "state": "relaxed",
  "lattice": [[7.224, 0.000, 0.000], [0.000, 4.123, 0.000], [-2.360, 0.000, 6.941]],
  "species": ["Pm", "Pm", "Pr", "Ho", "Se", "Se", "Se", "Se"],
  "frac_coords": [[0.000, 0.000, 0.000], [0.000, 0.500, 0.500], [0.500, 0.000, 0.500], [0.500, 0.500, 0.000], [0.251, 0.500, 0.241], [0.258, 0.000, 0.761], [0.742, 0.000, 0.239], [0.749, 0.500, 0.759]],
  "formation_energy_uncorrected_ev_per_atom": -1.8019
}

=====

{
  "formula": "CsAg4Pt2",
  "functional": "PBE-GGA",
  "state": "relaxed",
  "lattice": [[-2.725, 2.725, 7.358], [2.725, -2.725, 7.358], [2.725, 2.725, -7.358]],
  "species": ["Cs", "Ag", "Ag", "Ag", "Ag", "Pt", "Pt"],
  "frac_coords": [[0.000, 0.000, 0.000], [0.000, 0.500, 0.500], [0.234, 0.234, 0.000], [0.500, 0.000, 0.500], [0.766, 0.766, 0.000], [0.413, 0.413, 0.000], [0.587, 0.587, 0.000]],
  "e_form_ev_per_atom": 1.053
}

=====

{
  "formula": "Na2ZrTeRh",
  "functional": "PBE-GGA",
  "state": "relaxed",
  "lattice": [[6.002, 0.000, 0.000], [0.000, 6.002, 0.000], [0.000, 0.000, 4.655]],
  "species": ["Na", "Na", "Zr", "Te", "Rh"],
  "frac_coords": [[0.000, 0.500, 0.000], [0.500, 0.000, 0.000], [0.000, 0.000, 0.000], [0.500, 0.500, 0.500], [0.000, 0.000, 0.500]],
  "formation_energy_uncorrected_ev_per_atom": 0.7402
}

=====

In the order shown, the computed electronic total energy values come out to -32.6; -51.6; -20.8; -24.8; -21.8; -8.5; -42.1; -43.3; -46.1; -22.1; -93.2; -76.2; -34.7; -226.6; -36.1; -8.2; -88.8; -37.0; -48.5; -44.3; -47.2; -17.0; -18.0 eV/cell.